Entry 1:
Entry from the Alexandria database: a relaxed structure of Al5Re24 (PBE).

Properties
- Calculated formation energy: -72 meV per atom
- Fermi-level density of states: 0.8703 states/eV per atom
- Calculated volume: 889.22 Å³ per cell
- Total magnetization: 0.00 Bohr magnetons per cell

Cell lengths 9.616, 9.616, 9.616 Å; angles 90.00, 90.00, 90.00 degrees
Space group I-43m (No. 217)
Inequivalent atoms, fractional coordinates:
Al (0.000, 0.000, 0.000) [2 per cell]
Al (0.176, 0.176, 0.176) [8 per cell]
Re (0.041, 0.359, 0.641) [24 per cell]
Re (0.092, 0.092, 0.716) [24 per cell]


Entry 2:
Entry from the Alexandria database: a relaxed structure of AlRe (PBE).

Properties
- Calculated formation energy: 135 meV per atom
- Fermi-level density of states: 0.2384 states/eV per atom
- Calculated volume: 131.13 Å³ per cell
- Total magnetization: 0.00 Bohr magnetons per cell

Cell lengths 4.3757, 4.3757, 7.9084 Å; angles 90.00, 90.00, 120.00 degrees
Space group P6_3/mmc (No. 194)
Inequivalent atoms, fractional coordinates:
Al (0.3333, 0.6667, 0.0828) [4 per cell]
Re (0.0000, 0.0000, 0.2500) [2 per cell]
Re (0.3333, 0.6667, 0.7500) [2 per cell]


Entry 3:
Entry from the Alexandria database: a relaxed structure of AlRe4 (PBE).

Properties
- Calculated formation energy: 1788 meV per atom
- Fermi-level density of states: 0.5798 states/eV per atom
- Calculated volume: 82.86 Å³ per cell
- Total magnetization: 0.00 Bohr magnetons per cell

Cell lengths 4.360, 4.360, 4.360 Å; angles 90.00, 90.00, 90.00 degrees
Space group Pm-3m (No. 221)
Inequivalent atoms, fractional coordinates:
Al (0.000, 0.000, 0.000) [1 per cell]
Re (0.000, 0.000, 0.500) [3 per cell]
Re (0.500, 0.500, 0.500) [1 per cell]


Entry 4:
Entry from the Alexandria database: a relaxed structure of Al2Re (PBE).

Properties
- Calculated formation energy: -76 meV per atom
- Fermi-level density of states: 0.6902 states/eV per atom
- Calculated volume: 352.05 Å³ per cell
- Total magnetization: 0.00 Bohr magnetons per cell

Cell lengths 3.995, 3.995, 22.061 Å; angles 90.00, 90.00, 90.00 degrees
Space group I4_1/amd (No. 141, origin choice 2)
Inequivalent atoms, fractional coordinates:
Al (0.000, 0.250, 0.124) [8 per cell]
Al (0.000, 0.250, 0.788) [8 per cell]
Re (0.000, 0.250, 0.299) [8 per cell]


Entry 5:
Entry from the Alexandria database: a relaxed structure of AlRe (PBE).

Properties
- Calculated formation energy: -71 meV per atom
- Fermi-level density of states: 0.9579 states/eV per atom
- Calculated volume: 233.20 Å³ per cell
- Total magnetization: 0.00 Bohr magnetons per cell

Cell lengths 6.155, 6.155, 6.155 Å; angles 90.00, 90.00, 90.00 degrees
Space group Fd-3m (No. 227, origin choice 2)
Inequivalent atoms, fractional coordinates:
Al (0.125, 0.125, 0.125) [8 per cell]
Re (0.125, 0.125, 0.625) [8 per cell]


Entry 6:
Entry from the Alexandria database: a relaxed structure of Al11Re4 (PBE).

Properties
- Calculated formation energy: -344 meV per atom
- Fermi-level density of states: 0.2825 states/eV per atom
- Calculated volume: 229.91 Å³ per cell
- Total magnetization: 0.00 Bohr magnetons per cell

Cell lengths 5.173, 5.193, 8.998 Å; angles 90.57, 105.03, 99.47 degrees
Space group P-1 (No. 2)
Inequivalent atoms, fractional coordinates:
Al (0.000, 0.000, 0.000) [1 per cell]
Al (0.096, 0.497, 0.872) [2 per cell]
Al (0.204, 0.056, 0.334) [2 per cell]
Al (0.258, 0.800, 0.637) [2 per cell]
Al (0.319, 0.564, 0.378) [2 per cell]
Al (0.464, 0.145, 0.872) [2 per cell]
Re (0.155, 0.279, 0.604) [2 per cell]
Re (0.389, 0.338, 0.132) [2 per cell]


Entry 7:
Entry from the Alexandria database: a relaxed structure of Al2Re (PBE).

Properties
- Calculated formation energy: 19 meV per atom
- Fermi-level density of states: 0.8682 states/eV per atom
- Calculated volume: 192.68 Å³ per cell
- Total magnetization: 0.00 Bohr magnetons per cell

Cell lengths 2.829, 2.829, 24.082 Å; angles 90.00, 90.00, 90.00 degrees
Space group I4_1/amd (No. 141, origin choice 2)
Inequivalent atoms, fractional coordinates:
Al (0.000, 0.250, 0.301) [8 per cell]
Re (0.000, 0.250, 0.875) [4 per cell]


Entry 8:
Entry from the Alexandria database: a relaxed structure of AlRe (PBE).

Properties
- Calculated formation energy: -316 meV per atom
- Fermi-level density of states: 0.1987 states/eV per atom
- Calculated volume: 57.48 Å³ per cell
- Total magnetization: 0.00 Bohr magnetons per cell

Cell lengths 3.101, 3.101, 5.978 Å; angles 90.00, 90.00, 90.00 degrees
Space group P4/nmm (No. 129, origin choice 2)
Inequivalent atoms, fractional coordinates:
Al (0.250, 0.250, 0.128) [2 per cell]
Re (0.250, 0.250, 0.635) [2 per cell]


Entry 9:
Entry from the Alexandria database: a relaxed structure of Al2Re (PBE).

Properties
- Calculated formation energy: -283 meV per atom
- Fermi-level density of states: 0.9031 states/eV per atom
- Calculated volume: 175.19 Å³ per cell
- Total magnetization: 0.00 Bohr magnetons per cell

Cell lengths 8.222, 4.793, 5.980 Å; angles 90.00, 131.98, 90.00 degrees
Space group C2/c (No. 15)
Inequivalent atoms, fractional coordinates:
Al (0.167, 0.121, 0.250) [8 per cell]
Re (0.000, 0.379, 0.750) [4 per cell]


Entry 10:
Entry from the Alexandria database: a relaxed structure of AlRe (PBE).

Properties
- Calculated formation energy: -126 meV per atom
- Fermi-level density of states: 0.6948 states/eV per atom
- Calculated volume: 117.12 Å³ per cell
- Total magnetization: 0.00 Bohr magnetons per cell

Cell lengths 3.037, 4.306, 8.957 Å; angles 90.00, 90.00, 90.00 degrees
Space group Imma (No. 74)
Inequivalent atoms, fractional coordinates:
Al (0.000, 0.250, 0.113) [4 per cell]
Re (0.000, 0.250, 0.631) [4 per cell]


Entry 11:
Entry from the Alexandria database: a relaxed structure of AlRe4 (PBE).

Properties
- Calculated formation energy: 25 meV per atom
- Fermi-level density of states: 0.7903 states/eV per atom
- Calculated volume: 149.15 Å³ per cell
- Total magnetization: 0.00 Bohr magnetons per cell

Cell lengths 6.134, 6.134, 3.965 Å; angles 90.00, 90.00, 90.00 degrees
Space group I4/m (No. 87)
Inequivalent atoms, fractional coordinates:
Al (0.000, 0.000, 0.000) [2 per cell]
Re (0.087, 0.297, 0.500) [8 per cell]


Entry 12:
Entry from the Alexandria database: a relaxed structure of AlRe (PBE).

Properties
- Calculated formation energy: -1 meV per atom
- Fermi-level density of states: 1.1057 states/eV per atom
- Calculated volume: 28.61 Å³ per cell
- Total magnetization: 0.00 Bohr magnetons per cell

Cell lengths 3.059, 3.059, 3.059 Å; angles 90.00, 90.00, 90.00 degrees
Space group Pm-3m (No. 221)
Inequivalent atoms, fractional coordinates:
Al (0.000, 0.000, 0.000) [1 per cell]
Re (0.500, 0.500, 0.500) [1 per cell]


Entry 13:
Entry from the Alexandria database: a relaxed structure of AlRe (PBE).

Properties
- Calculated formation energy: 65 meV per atom
- Fermi-level density of states: 0.9868 states/eV per atom
- Calculated volume: 29.46 Å³ per cell
- Total magnetization: 0.00 Bohr magnetons per cell

Cell lengths 2.730, 2.730, 3.954 Å; angles 90.00, 90.00, 90.00 degrees
Space group P4/mmm (No. 123)
Inequivalent atoms, fractional coordinates:
Al (0.000, 0.000, 0.000) [1 per cell]
Re (0.500, 0.500, 0.500) [1 per cell]


Entry 14:
Entry from the Alexandria database: a relaxed structure of AlRe (PBE).

Properties
- Calculated formation energy: -112 meV per atom
- Fermi-level density of states: 0.6432 states/eV per atom
- Calculated volume: 176.93 Å³ per cell
- Total magnetization: 0.00 Bohr magnetons per cell

Cell lengths 2.981, 13.470, 4.407 Å; angles 90.00, 90.00, 90.00 degrees
Space group Amm2 (No. 38)
Inequivalent atoms, fractional coordinates:
Al (0.000, 0.000, 0.000) [2 per cell]
Al (0.500, 0.177, 0.892) [4 per cell]
Re (0.000, 0.160, 0.388) [4 per cell]
Re (0.500, 0.000, 0.508) [2 per cell]


Entry 15:
Entry from the Alexandria database: a relaxed structure of AlRe (PBE).

Properties
- Calculated formation energy: 122 meV per atom
- Fermi-level density of states: 0.4861 states/eV per atom
- Calculated volume: 515.27 Å³ per cell
- Total magnetization: 0.00 Bohr magnetons per cell

Cell lengths 4.416, 7.771, 15.016 Å; angles 90.00, 90.00, 90.00 degrees
Space group Fddd (No. 70, origin choice 2)
Inequivalent atoms, fractional coordinates:
Al (0.125, 0.290, 0.125) [16 per cell]
Re (0.125, 0.125, 0.542) [16 per cell]


Entry 16:
Entry from the Alexandria database: a relaxed structure of AlRe (PBE).

Properties
- Calculated formation energy: -161 meV per atom
- Fermi-level density of states: 0.6018 states/eV per atom
- Calculated volume: 175.57 Å³ per cell
- Total magnetization: 0.00 Bohr magnetons per cell

Cell lengths 9.578, 3.065, 6.311 Å; angles 90.00, 108.59, 90.00 degrees
Space group Cm (No. 8)
Inequivalent atoms, fractional coordinates:
Al (0.000, 0.000, 0.000) [2 per cell]
Al (0.016, 0.000, 0.546) [2 per cell]
Al (0.329, 0.000, 0.194) [2 per cell]
Re (0.148, 0.500, 0.343) [2 per cell]
Re (0.184, 0.500, 0.859) [2 per cell]
Re (0.331, 0.000, 0.655) [2 per cell]


Entry 17:
Entry from the Alexandria database: a relaxed structure of AlRe (PBE).

Properties
- Calculated formation energy: 2060 meV per atom
- Fermi-level density of states: 0.5764 states/eV per atom
- Calculated volume: 191.58 Å³ per cell
- Total magnetization: 8.35 Bohr magnetons per cell

Cell lengths 5.765, 5.765, 5.765 Å; angles 90.00, 90.00, 90.00 degrees
Space group F-43m (No. 216)
Inequivalent atoms, fractional coordinates:
Al (0.000, 0.000, 0.000) [4 per cell]
Re (0.250, 0.250, 0.750) [4 per cell]


Entry 18:
Entry from the Alexandria database: a relaxed structure of AlRe (PBE).

Properties
- Calculated formation energy: -73 meV per atom
- Fermi-level density of states: 0.6934 states/eV per atom
- Calculated volume: 118.19 Å³ per cell
- Total magnetization: 0.00 Bohr magnetons per cell

Cell lengths 4.907, 4.907, 4.907 Å; angles 90.00, 90.00, 90.00 degrees
Space group P2_13 (No. 198)
Inequivalent atoms, fractional coordinates:
Al (0.100, 0.400, 0.600) [4 per cell]
Re (0.111, 0.889, 0.389) [4 per cell]


Entry 19:
Entry from the Alexandria database: a relaxed structure of AlRe (PBE).

Properties
- Calculated formation energy: -40 meV per atom
- Fermi-level density of states: 0.7393 states/eV per atom
- Calculated volume: 88.68 Å³ per cell
- Total magnetization: 0.00 Bohr magnetons per cell

Cell lengths 2.7997, 2.7997, 13.0640 Å; angles 90.00, 90.00, 120.00 degrees
Space group R-3m (No. 166, hexagonal axes)
Inequivalent atoms, fractional coordinates:
Al (0.0000, 0.0000, 0.0000) [3 per cell]
Re (0.0000, 0.0000, 0.5000) [3 per cell]


Entry 20:
Entry from the Alexandria database: a relaxed structure of Al8Re (PBE).

Properties
- Calculated formation energy: -52 meV per atom
- Fermi-level density of states: 0.5014 states/eV per atom
- Calculated volume: 283.84 Å³ per cell
- Total magnetization: 0.43 Bohr magnetons per cell

Cell lengths 8.684, 8.684, 3.764 Å; angles 90.00, 90.00, 90.00 degrees
Space group I4/mmm (No. 139)
Inequivalent atoms, fractional coordinates:
Al (0.000, 0.323, 0.000) [8 per cell]
Al (0.160, 0.160, 0.500) [8 per cell]
Re (0.000, 0.000, 0.000) [2 per cell]


Entry 21:
Entry from the Alexandria database: a relaxed structure of AlRe (PBE).

Properties
- Calculated formation energy: -77 meV per atom
- Fermi-level density of states: 0.4995 states/eV per atom
- Calculated volume: 260.46 Å³ per cell
- Total magnetization: 0.00 Bohr magnetons per cell

Cell lengths 7.706, 7.706, 4.386 Å; angles 90.00, 90.00, 90.00 degrees
Space group I4/mmm (No. 139)
Inequivalent atoms, fractional coordinates:
Al (0.000, 0.282, 0.000) [8 per cell]
Re (0.165, 0.165, 0.500) [8 per cell]


Entry 22:
Entry from the Alexandria database: a relaxed structure of AlReRh2 (PBE).

Properties
- Calculated formation energy: 233 meV per atom
- Fermi-level density of states: 1.1220 states/eV per atom
- Calculated volume: 254.09 Å³ per cell
- Total magnetization: 0.00 Bohr magnetons per cell

Cell lengths 3.863, 3.863, 17.024 Å; angles 90.00, 90.00, 90.00 degrees
Space group I-42d (No. 122)
Inequivalent atoms, fractional coordinates:
Al (0.000, 0.000, 0.000) [4 per cell]
Re (0.000, 0.000, 0.500) [4 per cell]
Rh (0.249, 0.250, 0.125) [8 per cell]


Entry 23:
Entry from the Alexandria database: a relaxed structure of AlReRh (PBE).

Properties
- Calculated formation energy: -351 meV per atom
- Fermi-level density of states: 1.3361 states/eV per atom
- Calculated volume: 86.05 Å³ per cell
- Total magnetization: 0.01 Bohr magnetons per cell

Cell lengths 2.792, 2.792, 11.038 Å; angles 90.00, 90.00, 90.00 degrees
Space group I4mm (No. 107)
Inequivalent atoms, fractional coordinates:
Al (0.000, 0.000, 0.000) [2 per cell]
Re (0.000, 0.000, 0.326) [2 per cell]
Rh (0.000, 0.000, 0.662) [2 per cell]


Entry 24:
Entry from the Alexandria database: a relaxed structure of AlReRh2 (PBE).

Properties
- Calculated formation energy: -283 meV per atom
- Fermi-level density of states: 0.8758 states/eV per atom
- Calculated volume: 114.43 Å³ per cell
- Total magnetization: 0.00 Bohr magnetons per cell

Cell lengths 8.910, 2.739, 4.752 Å; angles 90.00, 99.34, 90.00 degrees
Space group C2/m (No. 12)
Inequivalent atoms, fractional coordinates:
Al (0.000, 0.000, 0.000) [2 per cell]
Re (0.000, 0.500, 0.500) [2 per cell]
Rh (0.248, 0.500, 0.252) [4 per cell]